First-principles (PBE with a Hubbard U) data for an optimized crystal structure of Cs3CdW2O8, as listed in Alexandria via LeMat-Bulk.

* calculated volume: 320.70 Å³/cell
* mass density: 5.21 Mg/m³
* calculated total energy: -5.918 eV/atom

Structure (CIF):
```
data_Cs3CdW2O8
_chemical_formula_sum 'Cs3 Cd1 W2 O8'
_space_group_name_H-M_alt 'P -3 m 1'
_space_group_IT_number 164
_space_group_name_Hall '-P 3 2"'
_cell_length_a 6.5991
_cell_length_b 6.5991
_cell_length_c 8.5037
_cell_angle_alpha 90.00
_cell_angle_beta 90.00
_cell_angle_gamma 120.00
loop_
_atom_site_label
_atom_site_type_symbol
_atom_site_fract_x
_atom_site_fract_y
_atom_site_fract_z
Cs1 Cs 0.0000 0.0000 0.0000
Cs2 Cs 0.3333 0.6667 0.6679
Cd1 Cd 0.0000 0.0000 0.5000
W1 W 0.3333 0.6667 0.2216
O1 O 0.1833 0.3666 0.2966
O2 O 0.3333 0.6667 0.0096
```